{"formula": "MgIn2Pb", "functional": "SCAN", "state": "PBEsol geometry", "spacegroup": "No. 10", "total_magnetization_mub_per_cell": 0.00, "delta_e_f_ev_per_atom": -0.03, "n_ef_per_ev_atom": 0.449, "lattice": [[3.3562, 0.0000, 0.0000], [0.0000, 4.3970, 0.0000], [-0.0651, 0.0000, 6.9171]], "species": ["Mg", "In", "In", "Pb"], "fractional_positions": [[0.0000, 0.0000, 0.0000], [0.4988, 0.5000, 0.7704], [0.5012, 0.5000, 0.2296], [0.0000, 0.0000, 0.5000]]}